VASP calculation (GGA-PBE) on an optimized crystal structure of HfTa2Au.

Summary:
Energy above the lowest structure with this stoichiometry, eV per formula unit: 1.13
Uncorrected energy, eV/atom: -8.757
Calculated density, g cm⁻³: 14.90
Energy of formation from the pure elements, eV/atom: 0.48
Total magnetization, μB/f.u.: 0.00

```
HfTa2Au
1.0
7.740 0.000 0.000
0.000 7.740 0.000
3.870 3.870 2.743
Au Ta Hf
2 4 2
Cartesian
0.000 0.000 0.000
7.740 3.870 1.371
1.764 5.805 0.686
9.675 9.846 2.057
5.976 1.935 0.686
5.805 5.634 2.057
3.870 7.740 1.371
3.870 3.870 0.000
```